Mg2FeRu after structural relaxation, computed with GGA-PBEsol.

Properties
Energy: -5.5343 eV per atom
Distance to the lowest polymorph of the same formula: 0 meV per atom
ΔH_f (0 K): 0.43 eV/f.u.

a = 2.9558 Å, b = 2.9558 Å, c = 7.2373 Å
α = 90.00°, β = 90.00°, γ = 90.00°
Space group P4mm (No. 99)
Unique sites:
Mg 0.0000 0.0000 0.0000 (multiplicity 1)
Mg 0.5000 0.5000 0.3378 (multiplicity 1)
Fe 0.5000 0.5000 0.7606 (multiplicity 1)
Ru 0.0000 0.0000 0.5878 (multiplicity 1)